Material: NdMg2Sn2Pd2
Method: DFT, PBE-GGA
State: optimized geometry

Properties
The calculation puts the formation energy at -0.640 eV per atom. The total magnetic moment is 0.00 μB/f.u.

The structure in CIF format:
```
data_NdMg2Sn2Pd2
_cell_length_a 4.5639
_cell_length_b 4.5639
_cell_length_c 25.1470
_cell_angle_alpha 90.00
_cell_angle_beta 90.00
_cell_angle_gamma 120.00
_symmetry_space_group_name_H-M 'R -3 m'
_symmetry_Int_Tables_number 166
_symmetry_space_group_name_Hall '-R 3 2"'
loop_
_atom_site_label
_atom_site_fract_x
_atom_site_fract_y
_atom_site_fract_z
Nd1 0.0000 0.0000 0.0000
Mg1 0.0000 0.0000 0.1386
Sn1 0.0000 0.0000 0.2596
Pd1 0.0000 0.0000 0.4389
```